Density functional theory data (PBE) for a relaxed YNpNb crystal.

ΔE to the lowest computed polymorph = 0.0 meV/atom
V = 316 Å³/cell
Size of the total moment = 1.0079 μB per atom
DFT formation energy = 0.99 eV/atom
DFT total energy = -105.402 eV for the cell shown

Unit cell a=6.8132 b=6.8132 c=6.8132 alpha=90.00 beta=90.00 gamma=90.00
Last column: nearest neighbours and their distance in Å.
Space group F-43m (No. 216)
Inequivalent atoms, fractional coordinates:
Y 0.0000 0.0000 0.0000  4 Nb 2.95
Np 0.0000 0.0000 0.5000  4 Nb 2.95
Nb 0.2500 0.2500 0.7500  4 Np 2.95, 4 Y 2.95